The following is a PBE calculation of an optimized crystal structure of La4Pt, from the Alexandria database.

The calculation puts the formation energy at -0.1923 eV per atom. The total magnetic moment is 0.00 μB/cell. For the density of states at the Fermi level, the calculation gives 1.827 states/eV/atom. The total DFT energy (no corrections) comes out at -0.393 Ry/atom.

a = 7.051 Å, b = 7.051 Å, c = 7.051 Å
α = 90.00°, β = 90.00°, γ = 90.00°
Space group Im-3m (No. 229)
Inequivalent atoms, fractional coordinates:
La 0.250 0.250 0.250 [8 per cell]
Pt 0.000 0.000 0.000 [2 per cell]